Computed, not measured: HfScOsO6 after structural relaxation at the PBE level of DFT.

Structure (CIF):
```
data_HfScOsO6
_chemical_formula_sum 'Hf2 Sc2 Os2 O12'
_symmetry_space_group_name_H-M 'P 1'
_symmetry_Int_Tables_number 1
_symmetry_space_group_name_Hall 'P 1'
_cell_length_a 5.2239
_cell_length_b 5.2239
_cell_length_c 9.2592
_cell_angle_alpha 90.00
_cell_angle_beta 90.00
_cell_angle_gamma 120.00
loop_
_atom_site_label
_atom_site_type_symbol
_atom_site_fract_x
_atom_site_fract_y
_atom_site_fract_z
O1 O 0.6515 0.9856 0.8682
O2 O 0.3485 0.0144 0.1318
O3 O 0.6660 0.0144 0.3682
O4 O 0.3340 0.9856 0.6318
O5 O 0.0144 0.3485 0.6318
O6 O 0.0144 0.6660 0.8682
O7 O 0.6660 0.6515 0.1318
O8 O 0.3340 0.3485 0.8682
O9 O 0.6515 0.6660 0.6318
O10 O 0.9856 0.3340 0.1318
O11 O 0.3485 0.3340 0.3682
O12 O 0.9856 0.6515 0.3682
Sc1 Sc 0.0000 0.0000 0.0000
Sc2 Sc 0.0000 0.0000 0.5000
Os1 Os 0.6667 0.3333 0.2500
Os2 Os 0.3333 0.6667 0.7500
Hf1 Hf 0.3333 0.6667 0.2500
Hf2 Hf 0.6667 0.3333 0.7500
```

Values from the calculation:
* symmetry: No. 163
* E: -158.276 eV/cell
* total magnetization: 6.01 Bohr magnetons per cell
* crystal system: trigonal
* formation energy from raw total energies: -2430 meV/atom



Computed, not measured: Li7Hg12Pb after structural relaxation at the PBE level of DFT.

Structure (CIF):
```
data_Li7Hg12Pb
_chemical_formula_sum 'Li7 Hg12 Pb1'
_symmetry_space_group_name_H-M 'P 1'
_symmetry_Int_Tables_number 1
_symmetry_space_group_name_Hall 'P 1'
_cell_length_a 5.7547
_cell_length_b 9.7647
_cell_length_c 9.7647
_cell_angle_alpha 116.24
_cell_angle_beta 101.33
_cell_angle_gamma 101.33
loop_
_atom_site_label
_atom_site_type_symbol
_atom_site_fract_x
_atom_site_fract_y
_atom_site_fract_z
Hg1 Hg 0.3924 0.2505 0.9221
Hg2 Hg 0.2593 0.5460 0.1680
Hg3 Hg 0.9087 0.1680 0.6220
Hg4 Hg 0.2867 0.3780 0.5460
Hg5 Hg 0.7407 0.4540 0.8320
Hg6 Hg 0.6076 0.7495 0.0779
Hg7 Hg 0.7133 0.6220 0.4540
Hg8 Hg 0.0913 0.8320 0.3780
Hg9 Hg 0.1418 0.6715 0.7495
Hg10 Hg 0.8582 0.3285 0.2505
Hg11 Hg 0.4703 0.0779 0.3285
Hg12 Hg 0.5297 0.9221 0.6715
Pb1 Pb 0.0000 0.0000 0.0000
Li1 Li 0.0493 0.9336 0.6887
Li2 Li 0.9507 0.0664 0.3113
Li3 Li 0.3606 0.3113 0.2450
Li4 Li 0.6394 0.6887 0.7550
Li5 Li 0.5000 0.0000 0.0000
Li6 Li 0.8844 0.2450 0.9336
Li7 Li 0.1156 0.7550 0.0664
```

Values from the calculation:
* symmetry: No. 148
* E: -24.976 eV/cell
* formation energy: -0.212 eV per atom
* total magnetization: 0.00 Bohr magnetons per cell
* crystal system: trigonal



Computed, not measured: Ti2BiSb after structural relaxation at the PBE level of DFT.

Structure (CIF):
```
data_Ti2BiSb
_chemical_formula_sum 'Ti2 Bi1 Sb1'
_symmetry_space_group_name_H-M 'P 1'
_symmetry_Int_Tables_number 1
_symmetry_space_group_name_Hall 'P 1'
_cell_length_a 3.3429
_cell_length_b 5.0060
_cell_length_c 5.0060
_cell_angle_alpha 90.00
_cell_angle_beta 90.00
_cell_angle_gamma 90.00
loop_
_atom_site_label
_atom_site_type_symbol
_atom_site_fract_x
_atom_site_fract_y
_atom_site_fract_z
Ti1 Ti 0.0000 0.0000 0.5000
Ti2 Ti 0.0000 0.5000 0.0000
Bi1 Bi 0.5000 0.0000 0.0000
Sb1 Sb 0.5000 0.5000 0.5000
```

Values from the calculation:
* symmetry: No. 123
* E: -24.123 eV/cell
* total magnetization: 0.00 Bohr magnetons per cell
* ΔE to the lowest computed polymorph: 0.214 eV/atom
* crystal system: tetragonal
* formation energy from raw total energies: -82 meV/atom



Computed, not measured: Tc3MoOs after structural relaxation at the PBE level of DFT.

Structure (CIF):
```
data_Tc3MoOs
_chemical_formula_sum 'Tc3 Mo1 Os1'
_symmetry_space_group_name_H-M 'P 1'
_symmetry_Int_Tables_number 1
_symmetry_space_group_name_Hall 'P 1'
_cell_length_a 4.6212
_cell_length_b 4.6212
_cell_length_c 4.6212
_cell_angle_alpha 90.00
_cell_angle_beta 90.00
_cell_angle_gamma 90.00
loop_
_atom_site_label
_atom_site_type_symbol
_atom_site_fract_x
_atom_site_fract_y
_atom_site_fract_z
Tc1 Tc 0.0000 0.0000 0.5000
Tc2 Tc 0.0000 0.5000 0.0000
Tc3 Tc 0.5000 0.0000 0.0000
Os1 Os 0.0000 0.0000 0.0000
Mo1 Mo 0.5000 0.5000 0.5000
```

Values from the calculation:
* symmetry: No. 221
* E: -43.293 eV/cell
* formation energy: 1.973 eV per atom
* total magnetization: 0.00 Bohr magnetons per cell
* ΔE to the lowest computed polymorph: 0.000 eV/atom
* crystal system: cubic



Computed, not measured: Zr3Ni6P5 after structural relaxation at the PBE level of DFT.

Structure (CIF):
```
data_Zr3Ni6P5
_chemical_formula_sum 'Zr6 Ni12 P10'
_symmetry_space_group_name_H-M 'P 1'
_symmetry_Int_Tables_number 1
_symmetry_space_group_name_Hall 'P 1'
_cell_length_a 3.6302
_cell_length_b 9.1459
_cell_length_c 11.3109
_cell_angle_alpha 90.00
_cell_angle_beta 90.00
_cell_angle_gamma 90.00
loop_
_atom_site_label
_atom_site_type_symbol
_atom_site_fract_x
_atom_site_fract_y
_atom_site_fract_z
Ni1 Ni 0.0000 0.9828 0.5000
Ni2 Ni 0.5000 0.3964 0.8132
Ni3 Ni 0.0000 0.0059 0.1677
Ni4 Ni 0.5000 0.5224 0.0000
Ni5 Ni 0.0000 0.6036 0.3132
Ni6 Ni 0.0000 0.6036 0.6868
Ni7 Ni 0.0000 0.4776 0.5000
Ni8 Ni 0.5000 0.9941 0.3323
Ni9 Ni 0.5000 0.0172 0.0000
Ni10 Ni 0.5000 0.9941 0.6677
Ni11 Ni 0.5000 0.3964 0.1868
Ni12 Ni 0.0000 0.0059 0.8323
Zr1 Zr 0.5000 0.7385 0.5000
Zr2 Zr 0.0000 0.2449 0.3435
Zr3 Zr 0.0000 0.2615 0.0000
Zr4 Zr 0.5000 0.7551 0.1565
Zr5 Zr 0.5000 0.7551 0.8435
Zr6 Zr 0.0000 0.2449 0.6565
P1 P 0.5000 0.1529 0.1696
P2 P 0.0000 0.8471 0.3304
P3 P 0.0000 0.5288 0.1223
P4 P 0.0000 0.8471 0.6696
P5 P 0.0000 0.5288 0.8777
P6 P 0.0000 0.8623 0.0000
P7 P 0.5000 0.1377 0.5000
P8 P 0.5000 0.4712 0.6223
P9 P 0.5000 0.1529 0.8304
P10 P 0.5000 0.4712 0.3777
```

Values from the calculation:
* symmetry: No. 59
* E: -201.280 eV/cell
* formation energy: -0.947 eV per atom
* total magnetization: 0.00 Bohr magnetons per cell
* crystal system: orthorhombic



Computed, not measured: CePaRhO6 after structural relaxation at the PBE level of DFT.

Structure (CIF):
```
data_CePaRhO6
_chemical_formula_sum 'Ce2 Pa2 Rh2 O12'
_symmetry_space_group_name_H-M 'P 1'
_symmetry_Int_Tables_number 1
_symmetry_space_group_name_Hall 'P 1'
_cell_length_a 5.3715
_cell_length_b 5.3715
_cell_length_c 10.2502
_cell_angle_alpha 90.00
_cell_angle_beta 90.00
_cell_angle_gamma 120.00
loop_
_atom_site_label
_atom_site_type_symbol
_atom_site_fract_x
_atom_site_fract_y
_atom_site_fract_z
O1 O 0.3508 0.3315 0.3657
O2 O 0.3315 0.3508 0.8657
O3 O 0.6685 0.0193 0.3657
O4 O 0.9807 0.6492 0.3657
O5 O 0.3508 0.0193 0.1343
O6 O 0.9807 0.3315 0.1343
O7 O 0.6492 0.6685 0.6343
O8 O 0.0193 0.3508 0.6343
O9 O 0.0193 0.6685 0.8657
O10 O 0.3315 0.9807 0.6343
O11 O 0.6685 0.6492 0.1343
O12 O 0.6492 0.9807 0.8657
Pa1 Pa 0.3333 0.6667 0.2500
Pa2 Pa 0.6667 0.3333 0.7500
Ce1 Ce 0.0000 0.0000 0.0000
Ce2 Ce 0.0000 0.0000 0.5000
Rh1 Rh 0.6667 0.3333 0.2500
Rh2 Rh 0.3333 0.6667 0.7500
```

Values from the calculation:
* symmetry: No. 163
* E: -153.381 eV/cell
* total magnetization: 0.00 Bohr magnetons per cell
* crystal system: trigonal
* formation energy from raw total energies: -2684 meV/atom



Computed, not measured: Tl2ZnPt2 after structural relaxation at the PBE level of DFT.

Structure (CIF):
```
data_Tl2ZnPt2
_chemical_formula_sum 'Tl2 Zn1 Pt2'
_symmetry_space_group_name_H-M 'P 1'
_symmetry_Int_Tables_number 1
_symmetry_space_group_name_Hall 'P 1'
_cell_length_a 3.7830
_cell_length_b 3.7830
_cell_length_c 8.6548
_cell_angle_alpha 77.38
_cell_angle_beta 77.38
_cell_angle_gamma 90.00
loop_
_atom_site_label
_atom_site_type_symbol
_atom_site_fract_x
_atom_site_fract_y
_atom_site_fract_z
Pt1 Pt 0.2500 0.7500 0.5000
Pt2 Pt 0.7500 0.2500 0.5000
Zn1 Zn 0.0000 0.0000 0.0000
Tl1 Tl 0.3865 0.3865 0.2270
Tl2 Tl 0.6135 0.6135 0.7730
```

Values from the calculation:
* symmetry: No. 139
* E: -17.456 eV/cell
* formation energy: 0.126 eV per atom
* total magnetization: 0.00 Bohr magnetons per cell
* ΔE to the lowest computed polymorph: 0.190 eV/atom
* crystal system: tetragonal



Computed, not measured: HfZn2Sb after structural relaxation at the PBE level of DFT.

Structure (CIF):
```
data_HfZn2Sb
_chemical_formula_sum 'Hf1 Zn2 Sb1'
_symmetry_space_group_name_H-M 'P 1'
_symmetry_Int_Tables_number 1
_symmetry_space_group_name_Hall 'P 1'
_cell_length_a 4.2340
_cell_length_b 4.2179
_cell_length_c 4.2179
_cell_angle_alpha 90.00
_cell_angle_beta 90.00
_cell_angle_gamma 90.00
loop_
_atom_site_label
_atom_site_type_symbol
_atom_site_fract_x
_atom_site_fract_y
_atom_site_fract_z
Zn1 Zn 0.0000 0.5000 0.0000
Zn2 Zn 0.0000 0.0000 0.5000
Hf1 Hf 0.5000 0.5000 0.5000
Sb1 Sb 0.5000 0.0000 0.0000
```

Values from the calculation:
* symmetry: No. 123
* E: -17.137 eV/cell
* total magnetization: 0.00 Bohr magnetons per cell
* crystal system: tetragonal
* formation energy from raw total energies: -128 meV/atom



Computed, not measured: K3Ho3ZrSe8 after structural relaxation at the PBE level of DFT.

Structure (CIF):
```
data_K3Ho3ZrSe8
_chemical_formula_sum 'K3 Ho3 Zr1 Se8'
_symmetry_space_group_name_H-M 'P 1'
_symmetry_Int_Tables_number 1
_symmetry_space_group_name_Hall 'P 1'
_cell_length_a 8.2088
_cell_length_b 8.2080
_cell_length_c 9.1589
_cell_angle_alpha 116.63
_cell_angle_beta 90.00
_cell_angle_gamma 120.00
loop_
_atom_site_label
_atom_site_type_symbol
_atom_site_fract_x
_atom_site_fract_y
_atom_site_fract_z
Se1 Se 0.2653 0.5306 0.2960
Se2 Se 0.7741 0.0286 0.3028
Se3 Se 0.7455 0.9714 0.6972
Se4 Se 0.7741 0.5481 0.3028
Se5 Se 0.2259 0.9714 0.6972
Se6 Se 0.7347 0.4694 0.7040
Se7 Se 0.2545 0.0286 0.3028
Se8 Se 0.2259 0.4519 0.6972
Ho1 Ho 0.5000 0.0000 0.5000
Ho2 Ho 0.0000 0.5000 0.5000
Ho3 Ho 0.5000 0.5000 0.5000
K1 K 0.5000 0.5000 0.0000
K2 K 0.0000 0.5000 0.0000
K3 K 0.0000 0.0000 0.0000
Zr1 Zr 0.0000 0.0000 0.5000
```

Values from the calculation:
* symmetry: No. 166
* E: -78.630 eV/cell
* total magnetization: 0.00 Bohr magnetons per cell
* crystal system: trigonal
* formation energy from raw total energies: -1679 meV/atom



Computed, not measured: YTc2Br after structural relaxation at the PBE level of DFT.

Structure (CIF):
```
data_YTc2Br
_chemical_formula_sum 'Y1 Tc2 Br1'
_symmetry_space_group_name_H-M 'P 1'
_symmetry_Int_Tables_number 1
_symmetry_space_group_name_Hall 'P 1'
_cell_length_a 5.4897
_cell_length_b 5.4897
_cell_length_c 5.4897
_cell_angle_alpha 141.54
_cell_angle_beta 121.98
_cell_angle_gamma 71.78
loop_
_atom_site_label
_atom_site_type_symbol
_atom_site_fract_x
_atom_site_fract_y
_atom_site_fract_z
Br1 Br 0.7850 0.2850 0.5000
Tc1 Tc 0.0178 0.0178 0.0000
Tc2 Tc 0.1853 0.6853 0.5000
Y1 Y 0.5119 0.5119 0.0000
```

Values from the calculation:
* symmetry: No. 44
* E: -27.716 eV/cell
* total magnetization: 0.00 Bohr magnetons per cell
* ΔE to the lowest computed polymorph: 0.411 eV/atom
* crystal system: orthorhombic
* formation energy from raw total energies: 288 meV/atom